ReMo2Pb: optimized geometry, PBE. Values from VASP.

Volume ... 72 Å³ per cell
Spin magnetization ... 0.0 μB/f.u.
Mass density ... 13.444 g/cm³
Space-group type ... P4mm
Total energy ... -8.867 eV/atom

```
&SYSTEM
  ibrav = 0, nat = 4, ntyp = 3
/
ATOMIC_SPECIES
Mo 95.94 Mo.upf
Pb 207.20 Pb.upf
Re 186.21 Re.upf
ATOMIC_POSITIONS crystal
Mo 0.0000 0.0000 0.9909
Mo 0.5000 0.5000 0.2120
Pb 0.0000 0.0000 0.5050
Re 0.5000 0.5000 0.7921
CELL_PARAMETERS angstrom
3.0941 0.0000 0.0000
0.0000 3.0941 0.0000
0.0000 0.0000 7.5513
```

Be6AlCo: optimized geometry, PBE. Values from VASP.

Volume ... 76 Å³ per cell
Spin magnetization ... 0.0 μB/f.u.
Mass density ... 3.069 g/cm³
Space-group type ... Pm-3
Total energy ... -4.013 eV/atom

```
&SYSTEM
  ibrav = 0, nat = 8, ntyp = 3
/
ATOMIC_SPECIES
Be 9.01 Be.upf
Al 26.98 Al.upf
Co 58.93 Co.upf
ATOMIC_POSITIONS crystal
Be 0.5000 0.7619 0.0000
Be 0.7619 0.0000 0.5000
Be 0.0000 0.5000 0.2381
Be 0.2381 0.0000 0.5000
Be 0.5000 0.2381 0.0000
Be 0.0000 0.5000 0.7619
Al 0.5000 0.5000 0.5000
Co 0.0000 0.0000 0.0000
CELL_PARAMETERS angstrom
4.2309 0.0000 0.0000
0.0000 4.2309 0.0000
0.0000 0.0000 4.2309
```

PrMg2Co9: optimized geometry, PBE. Values from VASP.

Volume ... 166 Å³ per cell
Spin magnetization ... 12.7 μB/f.u.
Mass density ... 7.195 g/cm³
Space-group type ... R-3m
Total energy ... -6.019 eV/atom

```
&SYSTEM
  ibrav = 0, nat = 12, ntyp = 3
/
ATOMIC_SPECIES
Pr 140.91 Pr.upf
Mg 24.30 Mg.upf
Co 58.93 Co.upf
ATOMIC_POSITIONS crystal
Pr 0.0000 0.0000 0.0000
Mg 0.8560 0.8560 0.4319
Mg 0.1440 0.1440 0.5681
Co 0.6636 0.6636 0.0092
Co 0.3364 0.3364 0.9908
Co 0.5000 0.5000 0.5000
Co 0.4105 0.4105 0.2565
Co 0.9226 0.4105 0.2565
Co 0.4105 0.9226 0.2565
Co 0.5895 0.5895 0.7435
Co 0.5895 0.0774 0.7435
Co 0.0774 0.5895 0.7435
CELL_PARAMETERS angstrom
-2.7745 0.4391 4.0644
-2.7191 -3.8190 1.5594
4.1943 -3.6270 6.2581
```

V3SiN: optimized geometry, PBE. Values from VASP.

Excess energy over the best structure of this formula in the dataset ... 0.162 eV/atom
Volume ... 116 Å³ per cell
Formation energy without anion corrections ... -63.7 kJ/mol of atoms
Spin magnetization ... 0.0 μB/f.u.
Mass density ... 5.562 g/cm³
Space-group type ... Pmma
Total energy ... -8.882 eV/atom

```
&SYSTEM
  ibrav = 0, nat = 10, ntyp = 3
/
ATOMIC_SPECIES
V 50.94 V.upf
Si 28.09 Si.upf
N 14.01 N.upf
ATOMIC_POSITIONS crystal
V 0.5000 0.2500 0.9038
V 0.5000 0.7500 0.0962
V 0.0000 0.7500 0.3653
V 0.0000 0.2500 0.6347
V 0.4999 0.2500 0.3654
V 0.5001 0.7500 0.6346
Si 0.9999 0.2500 0.1320
Si 0.0001 0.7500 0.8680
N 0.5000 0.7500 0.3686
N 0.5000 0.2500 0.6314
CELL_PARAMETERS angstrom
3.9399 0.0000 0.0765
0.0000 4.0272 0.0000
-0.1431 0.0000 7.3321
```

YHoTeS: optimized geometry, PBE. Values from VASP.

Volume ... 99 Å³ per cell
Formation energy without anion corrections ... -162.4 kJ/mol of atoms
Spin magnetization ... 0.0 μB/f.u.
Mass density ... 6.922 g/cm³
Space-group type ... R3m
Total energy ... -6.260 eV/atom

```
&SYSTEM
  ibrav = 0, nat = 4, ntyp = 4
/
ATOMIC_SPECIES
Y 88.91 Y.upf
Ho 164.93 Ho.upf
Te 127.60 Te.upf
S 32.06 S.upf
ATOMIC_POSITIONS crystal
Y 0.4969 0.1464 0.6585
Ho 0.1069 0.9514 0.0735
Te 0.9659 0.3810 0.3621
S 0.3082 0.5520 0.8756
CELL_PARAMETERS angstrom
4.0141 -0.0010 -0.0003
-2.0070 3.4774 0.0000
-2.0066 -1.1584 7.1072
```

K2BiPbF8: optimized geometry, PBE. Values from VASP.

Volume ... 203 Å³ per cell
Formation energy without anion corrections ... -238.9 kJ/mol of atoms
Spin magnetization ... 0.0 μB/f.u.
Mass density ... 5.286 g/cm³
Space-group type ... Pmmm
Total energy ... -4.539 eV/atom

```
&SYSTEM
  ibrav = 0, nat = 12, ntyp = 4
/
ATOMIC_SPECIES
K 39.10 K.upf
Bi 208.98 Bi.upf
Pb 207.20 Pb.upf
F 19.00 F.upf
ATOMIC_POSITIONS crystal
K 0.5000 0.5000 0.7503
K 0.5000 0.5000 0.2497
Bi 0.0000 0.0000 0.0000
Pb 0.0000 0.0000 0.5000
F 0.0004 0.7886 0.2485
F 0.4999 0.7886 0.0000
F 0.9996 0.2114 0.2485
F 0.9996 0.2114 0.7515
F 0.5001 0.2114 0.0000
F 0.0004 0.7886 0.7515
F 0.5000 0.7965 0.5000
F 0.5000 0.2035 0.5000
CELL_PARAMETERS angstrom
-1.7473 3.2077 -1.6954
-5.6394 -2.4054 1.2722
0.0007 3.7629 7.1186
```